DFT (PBE-GGA) results for crystalline SrScPd2 at its relaxed geometry.

Its space group is I-42d, No. 122. The total energy is -4.9724 eV/atom.

a b c (Å): 7.6283 7.6283 6.5159
angles (deg): 90.00 90.00 90.00
With the nearest neighbours (Å) after each atom.
Fractional coordinates of all 16 atoms:
Sr (0.0000, 0.0000, 0.0000)  4 Pd 3.04, 2 Sc 3.26
Sr (0.0000, 0.5000, 0.2500)  4 Pd 3.04, 2 Sc 3.26
Sr (0.5000, 0.0000, 0.7500)  4 Pd 3.04, 2 Sc 3.26
Sr (0.5000, 0.5000, 0.5000)  4 Pd 3.04, 2 Sc 3.26
Sc (0.0000, 0.0000, 0.5000)  4 Pd 2.61
Sc (0.0000, 0.5000, 0.7500)  4 Pd 2.61
Sc (0.5000, 0.0000, 0.2500)  4 Pd 2.61
Sc (0.5000, 0.5000, 0.0000)  4 Pd 2.61
Pd (0.2082, 0.2500, 0.6250)  2 Sc 2.61
Pd (0.2500, 0.7082, 0.8750)  2 Sc 2.61
Pd (0.2500, 0.7918, 0.3750)  2 Sc 2.61
Pd (0.2918, 0.2500, 0.1250)  2 Sc 2.61
Pd (0.7082, 0.7500, 0.1250)  2 Sc 2.61
Pd (0.7500, 0.2082, 0.3750)  2 Sc 2.61
Pd (0.7500, 0.2918, 0.8750)  2 Sc 2.61
Pd (0.7918, 0.7500, 0.6250)  2 Sc 2.61

---

DFT (PBE-GGA) results for crystalline TiZnPt at its relaxed geometry.

Its space group is Immm, No. 71. The total energy is -5.7185 eV/atom.

a b c (Å): 4.3869 5.2820 7.8357
angles (deg): 90.00 90.00 90.00
With the nearest neighbours (Å) after each atom.
Fractional coordinates of all 12 atoms:
Ti (0.0000, 0.2460, 0.0000)  2 Ti 2.60-2.68, 4 Zn 2.86, 6 Pt 2.89
Ti (0.0000, 0.7540, 0.0000)  2 Ti 2.60-2.68, 4 Zn 2.86, 6 Pt 2.89
Ti (0.5000, 0.2540, 0.5000)  2 Ti 2.60-2.68, 4 Zn 2.86, 6 Pt 2.89
Ti (0.5000, 0.7460, 0.5000)  2 Ti 2.60-2.68, 4 Zn 2.86, 6 Pt 2.89
Zn (0.0000, 0.0000, 0.3393)  1 Zn 2.52, 4 Pt 2.55-2.64
Zn (0.0000, 0.0000, 0.6607)  1 Zn 2.52, 4 Pt 2.55-2.64
Zn (0.5000, 0.5000, 0.1607)  1 Zn 2.52, 4 Pt 2.55-2.64
Zn (0.5000, 0.5000, 0.8393)  1 Zn 2.52, 4 Pt 2.55-2.64
Pt (0.0000, 0.5000, 0.3265)  4 Zn 2.55-2.64, 1 Pt 2.72
Pt (0.0000, 0.5000, 0.6735)  4 Zn 2.55-2.64, 1 Pt 2.72
Pt (0.5000, 0.0000, 0.1735)  4 Zn 2.55-2.64, 1 Pt 2.72
Pt (0.5000, 0.0000, 0.8265)  4 Zn 2.55-2.64, 1 Pt 2.72

---

DFT (PBE-GGA) results for crystalline LaCd2In at its relaxed geometry.

Its space group is I-42d, No. 122. The total energy is -2.4771 eV/atom.

a b c (Å): 4.7472 4.7472 21.3448
angles (deg): 90.00 90.00 90.00
With the nearest neighbours (Å) after each atom.
Fractional coordinates of all 16 atoms:
La (0.0000, 0.0000, 0.0000)  4 Cd 3.27, 4 In 3.36
La (0.0000, 0.5000, 0.2500)  4 Cd 3.27, 4 In 3.36
La (0.5000, 0.0000, 0.7500)  4 Cd 3.27, 4 In 3.36
La (0.5000, 0.5000, 0.5000)  4 Cd 3.27, 4 In 3.36
Cd (0.1908, 0.2500, 0.6250)  2 Cd 2.99, 2 In 3.06, 2 La 3.27
Cd (0.2500, 0.6908, 0.8750)  2 Cd 2.99, 2 In 3.06, 2 La 3.27
Cd (0.2500, 0.8092, 0.3750)  2 Cd 2.99, 2 In 3.06, 2 La 3.27
Cd (0.3092, 0.2500, 0.1250)  2 Cd 2.99, 2 In 3.06, 2 La 3.27
Cd (0.6908, 0.7500, 0.1250)  2 Cd 2.99, 2 In 3.06, 2 La 3.27
Cd (0.7500, 0.1908, 0.3750)  2 Cd 2.99, 2 In 3.06, 2 La 3.27
Cd (0.7500, 0.3092, 0.8750)  2 Cd 2.99, 2 In 3.06, 2 La 3.27
Cd (0.8092, 0.7500, 0.6250)  2 Cd 2.99, 2 In 3.06, 2 La 3.27
In (0.0000, 0.0000, 0.5000)  4 Cd 3.06, 4 La 3.36
In (0.0000, 0.5000, 0.7500)  4 Cd 3.06, 4 La 3.36
In (0.5000, 0.0000, 0.2500)  4 Cd 3.06, 4 La 3.36
In (0.5000, 0.5000, 0.0000)  4 Cd 3.06, 4 La 3.36

---

DFT (PBE-GGA) results for crystalline ZnInSb at its relaxed geometry.

Its space group is I4mm, No. 107. The value obtained for the formation energy from raw total energies is 0.14 eV per atom.

a b c (Å): 3.3835 3.3835 12.5784
angles (deg): 90.00 90.00 90.00
With the nearest neighbours (Å) after each atom.
Fractional coordinates of all 6 atoms:
Zn (0.0000, 0.0000, 0.0000)  4 Sb 3.02, 4 In 3.06
Zn (0.5000, 0.5000, 0.5000)  4 Sb 3.02, 4 In 3.06
In (0.0000, 0.0000, 0.3478)  4 Zn 3.06, 4 In 3.38
In (0.5000, 0.5000, 0.8478)  4 Zn 3.06, 4 In 3.38
Sb (0.0000, 0.0000, 0.6459)  4 Zn 3.02
Sb (0.5000, 0.5000, 0.1459)  4 Zn 3.02

---

DFT (PBE-GGA) results for crystalline LaIrBr2 at its relaxed geometry.

Its space group is Fm-3m, No. 225. The value obtained for the formation energy from raw total energies is -0.24 eV per atom.

a b c (Å): 7.2173 7.2173 7.2173
angles (deg): 90.00 90.00 90.00
With the nearest neighbours (Å) after each atom.
Fractional coordinates of all 16 atoms:
La (0.0000, 0.0000, 0.0000)  8 Br 3.13
La (0.0000, 0.5000, 0.5000)  8 Br 3.13
La (0.5000, 0.0000, 0.5000)  8 Br 3.13
La (0.5000, 0.5000, 0.0000)  8 Br 3.13
Ir (0.0000, 0.0000, 0.5000)  8 Br 3.13
Ir (0.0000, 0.5000, 0.0000)  8 Br 3.13
Ir (0.5000, 0.0000, 0.0000)  8 Br 3.13
Ir (0.5000, 0.5000, 0.5000)  8 Br 3.13
Br (0.2500, 0.2500, 0.2500)  4 Ir 3.13, 4 La 3.13
Br (0.2500, 0.2500, 0.7500)  4 La 3.13, 4 Ir 3.13
Br (0.2500, 0.7500, 0.2500)  4 La 3.13, 4 Ir 3.13
Br (0.2500, 0.7500, 0.7500)  4 La 3.13, 4 Ir 3.13
Br (0.7500, 0.2500, 0.2500)  4 La 3.13, 4 Ir 3.13
Br (0.7500, 0.2500, 0.7500)  4 La 3.13, 4 Ir 3.13
Br (0.7500, 0.7500, 0.2500)  4 La 3.13, 4 Ir 3.13
Br (0.7500, 0.7500, 0.7500)  4 La 3.13, 4 Ir 3.13

---

DFT (PBE-GGA) results for crystalline Sr2HgMo at its relaxed geometry.

Its space group is P4mm, No. 99. The total energy is -3.1186 eV/atom.

a b c (Å): 3.7751 3.7751 9.0143
angles (deg): 90.00 90.00 90.00
With the nearest neighbours (Å) after each atom.
Fractional coordinates of all 4 atoms:
Sr (0.0000, 0.0000, 0.0000)  1 Hg 3.31, 4 Mo 3.43
Sr (0.5000, 0.5000, 0.3947)  1 Mo 3.30, 4 Hg 3.43
Hg (0.0000, 0.0000, 0.6332)  4 Mo 2.91
Mo (0.5000, 0.5000, 0.7614)  4 Hg 2.91

---

DFT (PBE-GGA) results for crystalline CaZnPb at its relaxed geometry.

Its space group is Imm2, No. 44. The total energy is -2.6672 eV/atom.

a b c (Å): 12.5661 12.5661 12.5661
angles (deg): 157.78 44.86 141.55
With the nearest neighbours (Å) after each atom.
Fractional coordinates of all 18 atoms:
Ca (0.0000, 0.0000, 0.0000)  6 Zn 3.30-3.64, 6 Pb 3.38-3.39
Ca (0.0947, 0.9282, 0.1665)  6 Zn 3.27-3.65, 6 Pb 3.34-3.55
Ca (0.3312, 0.9989, 0.3323)  4 Zn 3.24-3.49, 6 Pb 3.33-3.52
Ca (0.4299, 0.9299, 0.5000)  6 Zn 3.22-3.48, 6 Pb 3.44-3.57
Ca (0.6666, 0.9989, 0.6677)  4 Zn 3.24-3.49, 6 Pb 3.33-3.52
Ca (0.7617, 0.9282, 0.8335)  6 Zn 3.27-3.65, 6 Pb 3.34-3.55
Zn (0.0276, 0.6344, 0.3932)  4 Pb 2.81-3.04
Zn (0.0698, 0.2955, 0.7742)  4 Pb 2.83-3.02
Zn (0.2413, 0.6344, 0.6068)  4 Pb 2.81-3.04
Zn (0.5213, 0.2955, 0.2258)  4 Pb 2.83-3.02
Zn (0.5774, 0.6332, 0.9441)  1 Zn 2.60, 3 Pb 2.85
Zn (0.6891, 0.6332, 0.0559)  1 Zn 2.60, 3 Pb 2.85
Pb (0.2123, 0.3080, 0.9043)  4 Zn 2.83-3.02
Pb (0.3594, 0.6218, 0.7377)  4 Zn 2.83-3.04
Pb (0.4037, 0.3080, 0.0957)  4 Zn 2.83-3.02
Pb (0.7311, 0.3064, 0.4247)  3 Zn 2.81-2.85
Pb (0.8816, 0.3064, 0.5753)  3 Zn 2.81-2.85
Pb (0.8841, 0.6218, 0.2623)  4 Zn 2.83-3.04

---

DFT (PBE-GGA) results for crystalline BeSiAu at its relaxed geometry.

Its space group is P-1, No. 2. The value obtained for the formation energy from raw total energies is 0.03 eV per atom.

a b c (Å): 3.7313 4.5003 6.3288
angles (deg): 69.47 83.14 70.94
With the nearest neighbours (Å) after each atom.
Fractional coordinates of all 6 atoms:
Be (0.0027, 0.1928, 0.1163)  4 Au 2.42-2.47, 2 Si 2.56-2.57, 2 Be 2.63-2.65
Be (0.9973, 0.8072, 0.8837)  4 Au 2.42-2.47, 2 Si 2.56-2.57, 2 Be 2.63-2.65
Si (0.3177, 0.8341, 0.5001)  2 Si 2.33-2.35, 2 Au 2.48-2.49, 2 Be 2.56-2.57
Si (0.6823, 0.1659, 0.4999)  2 Si 2.33-2.35, 2 Au 2.48-2.49, 2 Be 2.56-2.57
Au (0.4946, 0.6701, 0.1569)  4 Be 2.42-2.47, 2 Si 2.48-2.49
Au (0.5054, 0.3299, 0.8431)  4 Be 2.42-2.47, 2 Si 2.48-2.49

---

DFT (PBE-GGA) results for crystalline PrDy2ErTm2 at its relaxed geometry.

Its space group is Pnnm, No. 58. The total energy is -4.4128 eV/atom.

a b c (Å): 6.9052 16.0202 3.5111
angles (deg): 90.00 90.00 90.00
With the nearest neighbours (Å) after each atom.
Fractional coordinates of all 12 atoms:
Pr (0.0000, 0.0000, 0.0000)  2 Er 3.45, 4 Tm 3.50, 2 Pr 3.51, 4 Dy 3.55
Pr (0.5000, 0.5000, 0.5000)  2 Er 3.45, 4 Tm 3.50, 2 Pr 3.51, 4 Dy 3.55
Dy (0.2484, 0.3410, 0.0000)  4 Tm 3.44-3.46, 2 Dy 3.51, 2 Er 3.54, 2 Pr 3.55
Dy (0.2516, 0.8410, 0.5000)  4 Tm 3.44-3.46, 2 Dy 3.51, 2 Er 3.54, 2 Pr 3.55
Dy (0.7484, 0.1590, 0.5000)  4 Tm 3.44-3.46, 2 Dy 3.51, 2 Er 3.54, 2 Pr 3.55
Dy (0.7516, 0.6590, 0.0000)  4 Tm 3.44-3.46, 2 Dy 3.51, 2 Er 3.54, 2 Pr 3.55
Er (0.0000, 0.5000, 0.5000)  2 Pr 3.45, 4 Tm 3.50, 2 Er 3.51, 4 Dy 3.54
Er (0.5000, 0.0000, 0.0000)  2 Pr 3.45, 4 Tm 3.50, 2 Er 3.51, 4 Dy 3.54
Tm (0.2498, 0.1552, 0.5000)  4 Dy 3.44-3.46, 2 Pr 3.50, 2 Er 3.50, 2 Tm 3.51
Tm (0.2502, 0.6552, 0.0000)  4 Dy 3.44-3.46, 2 Pr 3.50, 2 Er 3.50, 2 Tm 3.51
Tm (0.7498, 0.3448, 0.0000)  4 Dy 3.44-3.46, 2 Pr 3.50, 2 Er 3.50, 2 Tm 3.51
Tm (0.7502, 0.8448, 0.5000)  4 Dy 3.44-3.46, 2 Pr 3.50, 2 Er 3.50, 2 Tm 3.51

---

DFT (PBE-GGA) results for crystalline Ac2PmC2N6 at its relaxed geometry.

Its space group is C2/m, No. 12. The value obtained for the formation energy from raw total energies is -0.76 eV per atom.

a b c (Å): 5.6038 5.6038 6.7895
angles (deg): 117.19 117.19 58.24
With the nearest neighbours (Å) after each atom.
Fractional coordinates of all 11 atoms:
Ac (0.2106, 0.2106, 0.1929)  9 N 2.76-2.89
Ac (0.7894, 0.7894, 0.8071)  9 N 2.76-2.89
Pm (0.0000, 0.0000, 0.5000)  6 N 2.41-2.42
C (0.4471, 0.4471, 0.7527)  3 N 1.36-1.38
C (0.5529, 0.5529, 0.2473)  3 N 1.36-1.38
N (0.2534, 0.6868, 0.2062)  1 C 1.38
N (0.2856, 0.2856, 0.6628)  1 C 1.36
N (0.3132, 0.7466, 0.7938)  1 C 1.38
N (0.6868, 0.2534, 0.2062)  1 C 1.38
N (0.7144, 0.7144, 0.3372)  1 C 1.36
N (0.7466, 0.3132, 0.7938)  1 C 1.38

---

DFT (PBE-GGA) results for crystalline Ce3Y2N4 at its relaxed geometry.

Its space group is C2/m, No. 12. The value obtained for the formation energy from raw total energies is -1.36 eV per atom.

a b c (Å): 6.2020 6.2020 8.7979
angles (deg): 119.27 119.27 33.19
With the nearest neighbours (Å) after each atom.
Fractional coordinates of all 9 atoms:
Ce (0.0000, 0.0000, 0.0000)  6 N 2.53-2.55
Ce (0.2039, 0.2039, 0.8069)  5 N 2.45-2.56
Ce (0.7961, 0.7961, 0.1931)  5 N 2.45-2.56
Y (0.3918, 0.3918, 0.6105)  4 N 2.39-2.47
Y (0.6082, 0.6082, 0.3895)  4 N 2.39-2.47
N (0.2023, 0.2023, 0.3080)  3 Y 2.39-2.46, 3 Ce 2.55-2.56
N (0.4005, 0.4005, 0.1020)  5 Ce 2.45-2.53, 1 Y 2.47
N (0.5995, 0.5995, 0.8980)  5 Ce 2.45-2.53, 1 Y 2.47
N (0.7977, 0.7977, 0.6920)  3 Y 2.39-2.46, 3 Ce 2.55-2.56

---

DFT (PBE-GGA) results for crystalline Li8AgPd3 at its relaxed geometry.

Its space group is Cm, No. 8. The total energy is -2.9238 eV/atom.

a b c (Å): 6.0772 6.0772 7.3834
angles (deg): 114.32 114.32 89.64
With the nearest neighbours (Å) after each atom.
Fractional coordinates of all 12 atoms:
Li (0.0000, 0.0000, 0.0000)  3 Pd 2.59, 1 Ag 2.72
Li (0.0014, 0.5203, 0.0024)  3 Pd 2.59-2.60, 1 Ag 2.72
Li (0.2602, 0.7413, 0.4835)  3 Pd 2.58-2.60, 1 Ag 2.71
Li (0.2614, 0.2614, 0.4841)  3 Pd 2.59, 1 Ag 2.72
Li (0.5189, 0.5189, 0.0005)  3 Pd 2.59, 1 Ag 2.72
Li (0.5203, 0.0014, 0.0024)  3 Pd 2.59-2.60, 1 Ag 2.72
Li (0.7413, 0.2602, 0.4835)  3 Pd 2.58-2.60, 1 Ag 2.71
Li (0.7430, 0.7430, 0.4845)  3 Pd 2.59, 1 Ag 2.73
Ag (0.1313, 0.1313, 0.7427)  8 Li 2.71-2.73
Pd (0.3805, 0.8806, 0.2426)  8 Li 2.59-2.60
Pd (0.6309, 0.6309, 0.7426)  8 Li 2.58-2.59
Pd (0.8806, 0.3805, 0.2426)  8 Li 2.59-2.60

---

What are the density of states at the Fermi level values for these records? In order: 0.64; 0.77; 0.71; 0.50; 1.36; 0.93; 0.37; 0.26; 1.50; 0.54; 1.13; 0.16 states/eV/atom.